DFT (PBEsol) results for an optimized crystal structure of MnAlSb.

a b c (Å): 3.1243 3.1243 6.0696
angles (deg): 90.00 90.00 120.00
Last column: nearest neighbours and their distance in Å.
Space group P3m1 (No. 156)
Inequivalent atoms, fractional coordinates:
Mn  0.0000  0.0000  0.0000  3 Al 2.50, 3 Sb 2.56
Al  0.3333  0.6667  0.2845  3 Mn 2.50
Sb  0.6667  0.3333  0.7005  3 Mn 2.56

Calculated values
Size of the total moment   1.2 μB per formula unit
Distance to the lowest polymorph of the same formula   0 meV/atom
Raw total energy   -17.859 eV for the cell shown
DOS at the Fermi energy   1.8 states/eV/cell
Crystal system   trigonal